Entry 1:
The following is a PBE-GGA calculation of an optimized crystal structure of LiTl4Ir, from Alexandria via LeMat-Bulk.

Values from the calculation:
The calculation puts the theoretical density at 10.6 g/cm3. The formation energy is 65.5 kJ/mol of atoms. The calculation puts the energy at -16.2 eV per formula unit.

Cell: 8.608 8.608 8.608 Å, 90.00 90.00 90.00°
Space group F-43m (No. 216)
One atom of each set of equivalent atoms:
Li: 0.000 0.000 0.000
Tl: 0.124 0.124 0.624
Ir: 0.250 0.250 0.250

Entry 2:
The following is a PBE-GGA calculation of an optimized crystal structure of Li2TlIr, from Alexandria via LeMat-Bulk.

Values from the calculation:
The calculation puts the theoretical density at 9.3 g/cm3. The formation energy is 19.8 kJ/mol of atoms. The calculation puts the energy at -14.2 eV per formula unit.

Cell: 3.186 4.949 9.285 Å, 90.00 90.00 90.00°
Space group Cmm2 (No. 35)
One atom of each set of equivalent atoms:
Li: 0.000 0.000 0.000
Li: 0.000 0.500 0.278
Tl: 0.000 0.500 0.744
Ir: 0.000 0.000 0.492